Record 1
MgSiPb2 after structural relaxation. Source: the Alexandria database, functional PBE.

Cell: 6.9581 6.9581 7.4069 Å, 61.99 61.99 90.00°
Positions (direct):
Pb 0.6543 0.1250 0.2500
Pb 0.0957 0.6250 0.2500
Pb 0.3750 0.3457 0.7500
Pb 0.8750 0.9043 0.7500
Si 0.0000 0.0000 0.0000
Si 0.7500 0.2500 0.5000
Mg 0.5000 0.5000 0.0000
Mg 0.2500 0.7500 0.5000

Summary:
Mass density (g/cm³): 5.8
Energy relative to the lowest polymorph listed for this composition (eV/atom): 0.278
M_tot (Bohr magnetons per cell): 0.00
Raw formation energy (eV per atom): 0.420



Record 2
Mg2SiPb after structural relaxation. Source: the Alexandria database, functional PBE.

Cell: 5.2327 5.2327 5.5418 Å, 70.37 70.37 41.44°
Positions (direct):
Mg 0.9648 0.9648 0.0884
Mg 0.7559 0.7559 0.7615
Pb 0.5370 0.5370 0.5120
Si 0.2423 0.2423 0.1382

Summary:
Mass density (g/cm³): 5.0
Energy relative to the lowest polymorph listed for this composition (eV/atom): 0.035
M_tot (Bohr magnetons per cell): 0.00
Raw formation energy (eV per atom): 0.099



Record 3
MgSiPb2 after structural relaxation. Source: the Alexandria database, functional PBE.

Cell: 5.7867 5.7867 5.7867 Å, 137.12 128.16 69.48°
Positions (direct):
Mg 0.2500 0.7500 0.5000
Pb 0.9840 0.9840 0.0000
Pb 0.5160 0.5160 0.0000
Si 0.7500 0.2500 0.5000

Summary:
Mass density (g/cm³): 7.6
Energy relative to the lowest polymorph listed for this composition (eV/atom): 0.126
M_tot (Bohr magnetons per cell): 0.00
Raw formation energy (eV per atom): 0.269



Record 4
MgSi2Pb after structural relaxation. Source: the Alexandria database, functional PBE.

Cell: 4.9134 4.9134 4.9134 Å, 60.00 60.00 60.00°
Positions (direct):
Mg 0.5000 0.5000 0.5000
Pb 0.7500 0.7500 0.7500
Si 0.0000 0.0000 0.0000
Si 0.2500 0.2500 0.2500

Summary:
Mass density (g/cm³): 5.7
Energy relative to the lowest polymorph listed for this composition (eV/atom): 0.245
M_tot (Bohr magnetons per cell): 0.00
Raw formation energy (eV per atom): 0.468



Record 5
Mg2Si2Pb after structural relaxation. Source: the Alexandria database, functional PBE.

Cell: 4.5016 4.5016 6.2999 Å, 69.07 69.07 90.00°
Positions (direct):
Pb 0.0000 0.0000 0.0000
Si 0.3929 0.3929 0.2141
Si 0.6071 0.6071 0.7859
Mg 0.7500 0.2500 0.5000
Mg 0.2500 0.7500 0.5000

Summary:
Mass density (g/cm³): 4.7
Energy relative to the lowest polymorph listed for this composition (eV/atom): 0.000
M_tot (Bohr magnetons per cell): 0.00
Raw formation energy (eV per atom): 0.057



Record 6
Mg2SiPb after structural relaxation. Source: the Alexandria database, functional PBE.

Cell: 6.6995 6.6995 6.6995 Å, 150.52 140.68 49.90°
Positions (direct):
Mg 0.0570 0.0570 0.0000
Mg 0.7538 0.2538 0.5000
Pb 0.4502 0.4502 0.0000
Si 0.2390 0.7390 0.5000

Summary:
Mass density (g/cm³): 5.0
Energy relative to the lowest polymorph listed for this composition (eV/atom): 0.032
M_tot (Bohr magnetons per cell): 0.00
Raw formation energy (eV per atom): 0.097



Q: What is the formula in the second record?
A: Mg2SiPb